No. 1
## Mn2TlSbIr (PBE)

Data for a relaxed Mn2TlSbIr crystal.

a = 4.968 Å, b = 5.056 Å, c = 4.968 Å
α = 90.00°, β = 90.00°, γ = 90.00°
Sites, in units of the cell vectors:
Mn: 0.000 0.000 0.500
Tl: 0.000 0.000 0.000
Ir: 0.000 0.500 0.000
Sb: 0.500 0.500 0.500
Mn: 0.500 0.000 0.000

- Formation energy without anion corrections: 1.35 eV per atom
- V: 124.8 Å³ per cell
- Magnetization: 8.4 Bohr magnetons per cell
- N(E_F): 0.60 states/eV/atom

=====

No. 2
## ScMnIr2 (PBE)

Data for a relaxed ScMnIr2 crystal.

a = 2.838 Å, b = 2.838 Å, c = 7.556 Å
α = 90.00°, β = 90.00°, γ = 90.00°
Sites, in units of the cell vectors:
Mn: 0.000 0.000 0.473
Sc: 0.500 0.500 0.748
Ir: 0.500 0.500 0.269
Ir: 0.000 0.000 0.010

- V: 60.8 Å³ per cell
- Magnetization: 1.3 Bohr magnetons per cell
- N(E_F): 0.90 states/eV/atom
- Energy: -33.777 eV for the cell shown

=====

No. 3
## Sc2MnIr (PBE)

Data for a relaxed Sc2MnIr crystal.

a = 4.628 Å, b = 7.282 Å, c = 3.192 Å
α = 63.99°, β = 90.01°, γ = 129.46°
Sites, in units of the cell vectors:
Sc: 0.000 0.000 0.000
Ir: 0.500 0.500 0.000
Sc: 0.000 0.500 0.500
Mn: 0.500 0.000 0.500

- V: 68.4 Å³ per cell
- Magnetization: 2.6 Bohr magnetons per cell
- N(E_F): 1.14 states/eV/atom
- Energy: -32.626 eV for the cell shown

=====

No. 4
## ScMnIr (PBE)

Data for a relaxed ScMnIr crystal.

a = 5.342 Å, b = 5.342 Å, c = 3.204 Å
α = 72.55°, β = 72.55°, γ = 34.90°
Sites, in units of the cell vectors:
Ir: 0.993 0.993 0.007
Mn: 0.349 0.349 0.651
Sc: 0.658 0.658 0.342

- V: 49.7 Å³ per cell
- Magnetization: 3.7 Bohr magnetons per cell
- Polymorph energy (0 for the lowest one): 137 meV/atom
- N(E_F): 1.23 states/eV/atom

=====

No. 5
## ScMnIr3 (PBE)

Data for a relaxed ScMnIr3 crystal.

a = 4.484 Å, b = 4.484 Å, c = 4.484 Å
α = 90.00°, β = 90.00°, γ = 90.00°
Sites, in units of the cell vectors:
Ir: 0.500 0.000 0.000
Mn: 0.000 0.000 0.000
Ir: 0.000 0.000 0.500
Ir: 0.000 0.500 0.000
Sc: 0.500 0.500 0.500

- V: 90.2 Å³ per cell
- Magnetization: 0.0 Bohr magnetons per cell
- Polymorph energy (0 for the lowest one): 0 meV/atom
- N(E_F): 1.16 states/eV/atom

=====

No. 6
## Sc2MnIr (PBE)

Data for a relaxed Sc2MnIr crystal.

a = 9.183 Å, b = 9.183 Å, c = 9.183 Å
α = 18.65°, β = 18.65°, γ = 18.65°
Sites, in units of the cell vectors:
Mn: 0.000 0.000 0.000
Sc: 0.912 0.912 0.912
Sc: 0.088 0.088 0.088
Ir: 0.500 0.500 0.500

- V: 69.2 Å³ per cell
- Magnetization: 0.0 Bohr magnetons per cell
- N(E_F): 1.84 states/eV/atom
- Energy: -29.591 eV for the cell shown

=====

No. 7
## ScMnIr2 (PBE)

Data for a relaxed ScMnIr2 crystal.

a = 4.451 Å, b = 4.451 Å, c = 4.451 Å
α = 60.00°, β = 60.00°, γ = 60.00°
Sites, in units of the cell vectors:
Sc: 0.750 0.750 0.750
Ir: 0.000 0.000 0.000
Ir: 0.250 0.250 0.250
Mn: 0.500 0.500 0.500

- V: 62.3 Å³ per cell
- Magnetization: 4.1 Bohr magnetons per cell
- N(E_F): 1.18 states/eV/atom
- Energy: -34.012 eV for the cell shown

=====

No. 8
## Sc2MnIr (PBE)

Data for a relaxed Sc2MnIr crystal.

a = 9.543 Å, b = 9.543 Å, c = 9.543 Å
α = 17.89°, β = 17.89°, γ = 17.89°
Sites, in units of the cell vectors:
Ir: 0.000 0.000 0.000
Mn: 0.500 0.500 0.500
Sc: 0.912 0.912 0.912
Sc: 0.088 0.088 0.088

- V: 71.6 Å³ per cell
- Magnetization: 2.2 Bohr magnetons per cell
- N(E_F): 0.93 states/eV/atom
- Energy: -29.850 eV for the cell shown